Below is a geometry-optimized SmPa2Fe9 structure, with properties calculated at the GGA-PBE level. Values from VASP.

Properties
The total energy comes out at -8.42 eV per atom. Its space group is R-3m, No. 166.

```
&SYSTEM
  ibrav = 0, nat = 12, ntyp = 3
/
ATOMIC_SPECIES
Pa 231.04 Pa.upf
Fe 55.84 Fe.upf
Sm 150.36 Sm.upf
CELL_PARAMETERS angstrom
-3.357 -3.735 0.282
0.687 -4.205 -2.673
3.284 -5.928 5.437
ATOMIC_POSITIONS crystal
Pa 0.857 0.857 0.428
Pa 0.143 0.143 0.572
Fe 0.417 0.918 0.248
Fe 0.667 0.667 0.000
Fe 0.417 0.417 0.248
Fe 0.082 0.583 0.752
Fe 0.918 0.417 0.248
Fe 0.333 0.333 0.000
Fe 0.500 0.500 0.500
Fe 0.583 0.082 0.752
Fe 0.583 0.583 0.752
Sm 0.000 0.000 0.000
```

Below is a geometry-optimized Ac5LaNd2 structure, with properties calculated at the GGA-PBE level. Values from VASP.

Properties
The energy relative to the lowest polymorph listed for this composition comes out at 73 meV/atom. Its space group is Cmcm, No. 63.

```
&SYSTEM
  ibrav = 0, nat = 16, ntyp = 3
/
ATOMIC_SPECIES
Ac 227.00 Ac.upf
Nd 144.24 Nd.upf
La 138.91 La.upf
CELL_PARAMETERS angstrom
-0.704 1.222 -5.664
-4.936 -4.105 2.735
-9.752 14.641 4.372
ATOMIC_POSITIONS crystal
Ac 0.357 0.713 0.458
Ac 0.489 0.979 0.750
Ac 0.053 0.105 0.100
Ac 0.947 0.895 0.600
Ac 0.053 0.105 0.400
Ac 0.643 0.287 0.958
Ac 0.511 0.021 0.250
Ac 0.643 0.287 0.542
Ac 0.357 0.713 0.042
Ac 0.947 0.895 0.900
Nd 0.241 0.482 0.645
Nd 0.759 0.518 0.355
Nd 0.759 0.518 0.145
Nd 0.241 0.482 0.855
La 0.761 0.522 0.750
La 0.239 0.478 0.250
```

Below is a geometry-optimized BeAuCl2 structure, with properties calculated at the GGA-PBE level. Values from VASP.

Properties
The energy relative to the lowest polymorph listed for this composition comes out at 1172 meV/atom. The uncorrected formation energy comes out at 536 meV/atom. Its space group is P4/mmm, No. 123.

```
&SYSTEM
  ibrav = 0, nat = 4, ntyp = 3
/
ATOMIC_SPECIES
Cl 35.45 Cl.upf
Au 196.97 Au.upf
Be 9.01 Be.upf
CELL_PARAMETERS angstrom
-4.673 0.560 1.026
0.386 -3.239 3.544
0.737 2.354 2.070
ATOMIC_POSITIONS crystal
Cl 0.500 0.500 0.000
Cl 0.000 0.000 0.000
Au 0.500 0.000 0.500
Be 0.000 0.500 0.500
```

Below is a geometry-optimized Dy2GePd structure, with properties calculated at the GGA-PBE level. Values from VASP.

Properties
The total energy comes out at -5.41 eV per atom. Its space group is R3m, No. 160.

```
&SYSTEM
  ibrav = 0, nat = 4, ntyp = 3
/
ATOMIC_SPECIES
Dy 162.50 Dy.upf
Ge 72.64 Ge.upf
Pd 106.42 Pd.upf
CELL_PARAMETERS angstrom
-0.769 -1.074 4.251
-3.667 -2.278 1.091
1.276 -5.889 1.073
ATOMIC_POSITIONS crystal
Dy 0.898 0.661 0.543
Dy 0.704 0.467 0.124
Ge 0.489 0.252 0.771
Pd 0.119 0.882 0.880
```

Below is a geometry-optimized Np2PaSn structure, with properties calculated at the GGA-PBE level. Values from VASP.

Properties
The energy relative to the lowest polymorph listed for this composition comes out at 221 meV/atom. Its space group is Fm-3m, No. 225.

```
&SYSTEM
  ibrav = 0, nat = 4, ntyp = 3
/
ATOMIC_SPECIES
Np 237.00 Np.upf
Pa 231.04 Pa.upf
Sn 118.71 Sn.upf
CELL_PARAMETERS angstrom
5.168 0.000 0.000
2.584 4.475 0.000
2.584 1.492 4.219
ATOMIC_POSITIONS crystal
Np 0.250 0.250 0.250
Np 0.750 0.750 0.750
Pa 0.000 0.000 0.000
Sn 0.500 0.500 0.500
```

Below is a geometry-optimized AlSi2Ru2 structure, with properties calculated at the GGA-PBE level. Values from VASP.

Properties
The uncorrected formation energy comes out at -384 meV/atom. Its space group is P4/mbm, No. 127.

```
&SYSTEM
  ibrav = 0, nat = 10, ntyp = 3
/
ATOMIC_SPECIES
Si 28.09 Si.upf
Ru 101.07 Ru.upf
Al 26.98 Al.upf
CELL_PARAMETERS angstrom
6.976 0.000 0.000
0.000 6.976 0.000
0.000 0.000 2.816
ATOMIC_POSITIONS crystal
Si 0.132 0.368 0.000
Si 0.868 0.632 0.000
Si 0.632 0.132 0.000
Si 0.368 0.868 0.000
Ru 0.337 0.163 0.500
Ru 0.837 0.337 0.500
Ru 0.663 0.837 0.500
Ru 0.163 0.663 0.500
Al 0.000 0.000 0.000
Al 0.500 0.500 0.000
```

Below is a geometry-optimized LaPAu2 structure, with properties calculated at the GGA-PBE level. Values from VASP.

Properties
The total energy comes out at -4.74 eV per atom. Its space group is P4mm, No. 99.

```
&SYSTEM
  ibrav = 0, nat = 4, ntyp = 3
/
ATOMIC_SPECIES
Au 196.97 Au.upf
La 138.91 La.upf
P 30.97 P.upf
CELL_PARAMETERS angstrom
-2.308 -0.555 3.299
-1.542 -3.381 -1.647
4.315 -3.178 2.484
ATOMIC_POSITIONS crystal
Au 0.000 0.000 0.114
Au 0.500 0.500 0.104
La 0.000 0.000 0.605
P 0.500 0.500 0.677
```

Below is a geometry-optimized Ac2Nd2Y structure, with properties calculated at the GGA-PBE level. Values from VASP.

Properties
The energy relative to the lowest polymorph listed for this composition comes out at 0 meV/atom. Its space group is Cmmm, No. 65.

```
&SYSTEM
  ibrav = 0, nat = 5, ntyp = 3
/
ATOMIC_SPECIES
Ac 227.00 Ac.upf
Y 88.91 Y.upf
Nd 144.24 Nd.upf
CELL_PARAMETERS angstrom
-0.282 -1.729 -3.315
5.645 -1.161 0.125
-4.496 -7.106 4.087
ATOMIC_POSITIONS crystal
Ac 0.500 0.391 0.782
Ac 0.500 0.609 0.218
Y 0.000 0.000 0.000
Nd 0.000 0.198 0.396
Nd 0.000 0.802 0.604
```

Below is a geometry-optimized SmTa2Os3 structure, with properties calculated at the GGA-PBE level. Values from VASP.

Properties
The total energy comes out at -10.61 eV per atom. Its space group is P4/mmm, No. 123.

```
&SYSTEM
  ibrav = 0, nat = 6, ntyp = 3
/
ATOMIC_SPECIES
Sm 150.36 Sm.upf
Os 190.23 Os.upf
Ta 180.95 Ta.upf
CELL_PARAMETERS angstrom
3.166 0.000 0.000
0.000 3.166 0.000
0.000 0.000 10.736
ATOMIC_POSITIONS crystal
Sm 0.500 0.500 0.500
Os 0.000 0.000 0.291
Os 0.000 0.000 0.000
Os 0.000 0.000 0.709
Ta 0.500 0.500 0.843
Ta 0.500 0.500 0.157
```

Below is a geometry-optimized CaIn2Au8 structure, with properties calculated at the GGA-PBE level. Values from VASP.

Properties
The energy relative to the lowest polymorph listed for this composition comes out at 16 meV/atom. Its space group is C2/m, No. 12.

```
&SYSTEM
  ibrav = 0, nat = 11, ntyp = 3
/
ATOMIC_SPECIES
Au 196.97 Au.upf
In 114.82 In.upf
Ca 40.08 Ca.upf
CELL_PARAMETERS angstrom
3.646 -0.808 0.000
-1.472 8.016 0.000
-0.736 4.008 8.411
ATOMIC_POSITIONS crystal
Au 0.812 0.663 0.298
Au 0.500 0.246 0.509
Au 0.188 0.039 0.298
Au 0.798 0.673 0.000
Au 0.188 0.337 0.702
Au 0.812 0.961 0.702
Au 0.202 0.327 0.000
Au 0.500 0.754 0.491
In 0.000 0.629 0.743
In 0.000 0.371 0.257
Ca 0.500 0.000 0.000
```

Below is a geometry-optimized NaV2NiS8 structure, with properties calculated at the GGA-PBE level. Values from VASP.

Properties
The uncorrected formation energy comes out at -346 meV/atom. Its space group is R-3, No. 148.

```
&SYSTEM
  ibrav = 0, nat = 12, ntyp = 4
/
ATOMIC_SPECIES
S 32.06 S.upf
V 50.94 V.upf
Na 22.99 Na.upf
Ni 58.69 Ni.upf
CELL_PARAMETERS angstrom
-2.455 1.890 -4.913
-5.735 -0.506 -0.762
-3.960 8.700 1.892
ATOMIC_POSITIONS crystal
S 0.067 0.354 0.848
S 0.819 0.819 0.544
S 0.646 0.270 0.152
S 0.270 0.933 0.152
S 0.933 0.646 0.152
S 0.181 0.181 0.456
S 0.730 0.067 0.848
S 0.354 0.730 0.848
V 0.741 0.741 0.778
V 0.259 0.259 0.222
Na 0.500 0.500 0.500
Ni 0.000 0.000 0.000
```

Below is a geometry-optimized Ca2GaHg structure, with properties calculated at the GGA-PBE level. Values from VASP.

Properties
The total energy comes out at -2.13 eV per atom. Its space group is R-3m, No. 166.

```
&SYSTEM
  ibrav = 0, nat = 4, ntyp = 3
/
ATOMIC_SPECIES
Ga 69.72 Ga.upf
Ca 40.08 Ca.upf
Hg 200.59 Hg.upf
CELL_PARAMETERS angstrom
-2.383 3.087 0.326
-1.645 0.847 3.449
5.627 6.475 3.315
ATOMIC_POSITIONS crystal
Ga 0.000 0.000 0.000
Ca 0.254 0.254 0.238
Ca 0.746 0.746 0.762
Hg 0.500 0.500 0.500
```